Entry from the Alexandria database: crystalline Ca3VF at its relaxed geometry (PBE+U).

POSCAR file:
```
Ca3VF
1.0
5.068 0.000 0.000
0.000 5.068 0.000
0.000 0.000 5.068
Ca V F
3 1 1
Direct
0.000 0.000 0.500 Ca
0.000 0.500 0.000 Ca
0.500 0.000 0.000 Ca
0.500 0.500 0.500 V
0.000 0.000 0.000 F
```

Computed properties:
Magnetization, μB per cell: 3.678
Excess energy over the best structure of this formula in the dataset, meV per atom: 0
Fermi-level density of states, states/eV per cell: 2.49
Space-group type: Pm-3m, No. 221
Total energy, eV/atom: -3.70